Record 1
3
Lattice="0.0000 3.1673 3.1673 3.1673 0.0000 3.1673 3.1673 3.1673 0.0000" Properties=species:S:1:pos:R:3 comment="MgNbZn, relaxed, DFT PBE" dft_energy_ev_per_atom=-3.40 sg=F-43m pbc="T T T"
Mg 0.0000 0.0000 0.0000
Nb 4.7510 4.7510 4.7510
Zn 3.1673 3.1673 3.1673

Record 2
7
Lattice="4.6391 -1.9634 0.0000 4.6391 1.9634 0.0000 -2.5684 0.0000 6.0087" Properties=species:S:1:pos:R:3 comment="Mg2Ga3Ni2, relaxed, DFT PBE" dft_energy_ev_per_atom=-3.70 sg=C2/m pbc="T T T"
Mg 0.6714 0.0000 1.7574
Mg 6.0383 0.0000 4.2514
Ga 3.2571 0.0000 0.2757
Ga 3.3548 0.0000 3.0044
Ga 3.4526 0.0000 5.7331
Ni -0.6152 0.0000 4.2012
Ni 7.3249 0.0000 1.8076

Record 3
3
Lattice="0.0000 3.5545 3.5545 3.5545 0.0000 3.5545 3.5545 3.5545 0.0000" Properties=species:S:1:pos:R:3 comment="SmScCd, relaxed, DFT PBE" ef_ev_per_fu=1.6 dft_energy_ev_per_atom=-3.43 sg=F-43m relative_energy_ev_per_fu=0.42 pbc="T T T"
Sm 0.0000 0.0000 0.0000
Sc 1.7773 1.7773 1.7773
Cd 5.3318 5.3318 5.3318